ZnCoSeCl2 after structural relaxation, computed with GGA-PBE.

The value obtained for the uncorrected formation energy is 251 meV per atom. Its crystal system is tetragonal.

The structure belongs to space group P4/mmm (No. 123); the cell edges are 4.5921, 4.5921 and 5.5384 Å and the angles 90.00°, 90.00° and 90.00°. The asymmetric unit holds Zn at (0.0000, 0.0000, 0.0000), Co at (0.5000, 0.5000, 0.5000), Se at (0.0000, 0.0000, 0.5000) and Cl at (0.0000, 0.5000, 0.0000).